Entry from the Alexandria database: a relaxed SiHg2Au2 crystal (GGA-PBE).

Properties
The spin magnetization is 0.0 μB/f.u. As for the space group: P4/mbm. The calculation puts the energy above the most stable polymorph in this dataset at 162 kJ/mol of formula units. The total DFT energy (no corrections) is -21.35 eV for the cell shown. The uncorrected formation energy comes out at 381 meV per atom.

```
SiHg2Au2
1.0
-8.3091 -1.0340 -1.1107
-0.0568 -5.9658 5.9791
-0.5330 2.0698 2.0602
Au Hg Si
4 4 2
Cartesian
-5.4764 -4.8511 5.5959
-7.5916 -2.1350 2.3198
-1.3073 -2.7950 4.6088
-3.4224 -0.0789 1.3327
-5.6412 -1.7610 0.3098
-2.7246 -5.2389 4.5586
-6.8710 -4.8934 3.1388
-1.4949 -2.1065 1.7296
0.0000 0.0000 0.0000
-4.1829 -3.4999 2.4342
```

***

Entry from the Alexandria database: a relaxed Pm2SmEr3S6 crystal (GGA-PBE).

Properties
The spin magnetization is 0.0 μB/f.u. As for the space group: C2/m. The total DFT energy (no corrections) is -76.66 eV for the cell shown. The uncorrected formation energy comes out at -1999 meV per atom.

```
Pm2SmEr3S6
1.0
3.9110 0.0000 0.0000
0.0000 7.9699 0.2063
-1.9555 -2.3794 8.2977
Pm S Sm Er
2 6 1 3
Cartesian
1.9555 3.7249 5.6668
0.0000 1.8657 2.8371
0.0000 5.8103 5.6739
1.9555 -0.2197 2.8301
0.0000 1.6421 5.6764
0.0000 5.8977 0.2136
1.9555 -0.3072 8.2903
1.9555 3.9485 2.8275
1.9555 0.0000 0.0000
1.9555 -0.2569 5.5613
0.0000 5.8474 2.9426
1.9555 3.9850 0.1031
```